Record 1
Compound: IO
Source: the Alexandria database
Functional: PBE-GGA
Structure: optimized geometry

Summary:
E_tot in eV per atom: -3.132
Theoretical density in g/cm³: 3.4
V in Å³ per cell: 1132.6

Cell: 7.3558 11.8263 13.0192 Å, 90.00 90.00 90.00°
Space group Fddd (No. 70, origin choice 2)
One atom of each set of equivalent atoms:
I (0.1250, 0.3407, 0.1250) [16 per cell]
O (0.1250, 0.1250, 0.3090) [16 per cell]

Record 2
Compound: IO
Source: the Alexandria database
Functional: PBE-GGA
Structure: optimized geometry

Summary:
E_tot in eV per atom: -3.102
Theoretical density in g/cm³: 3.8
V in Å³ per cell: 250.7

Cell: 7.8503 7.8503 4.0676 Å, 90.00 90.00 90.00°
Space group P4_2/mnm (No. 136)
One atom of each set of equivalent atoms:
I (0.1496, 0.1496, 0.0000) [4 per cell]
O (0.1596, 0.1596, 0.5000) [4 per cell]

Record 3
Compound: IO
Source: the Alexandria database
Functional: PBE-GGA
Structure: optimized geometry

Summary:
E_tot in eV per atom: -2.456
Theoretical density in g/cm³: 4.2
V in Å³ per cell: 339.8

Cell: 6.9782 6.9782 6.9782 Å, 90.00 90.00 90.00°
Space group Pm-3n (No. 223)
One atom of each set of equivalent atoms:
I (0.0000, 0.2500, 0.5000) [6 per cell]
O (0.0000, 0.5000, 0.2500) [6 per cell]

Record 4
Compound: I2O5
Source: the Alexandria database
Functional: PBE-GGA
Structure: optimized geometry

Summary:
E_tot in eV per atom: -3.999
Theoretical density in g/cm³: 3.9
V in Å³ per cell: 575.0

Cell: 12.2636 4.5349 10.3870 Å, 90.00 95.45 90.00°
Space group C2/c (No. 15)
One atom of each set of equivalent atoms:
I (0.1412, 0.1236, 0.2870) [8 per cell]
O (0.0000, 0.1200, 0.7500) [4 per cell]
O (0.0495, 0.4852, 0.9947) [8 per cell]
O (0.2101, 0.0959, 0.6603) [8 per cell]

Record 5
Compound: IO
Source: the Alexandria database
Functional: PBE-GGA
Structure: optimized geometry

Summary:
E_tot in eV per atom: -3.271
Theoretical density in g/cm³: 4.5
V in Å³ per cell: 106.5

Cell: 4.4815 4.5615 6.3252 Å, 70.62 73.87 61.96°
Space group P1 (No. 1)
One atom of each set of equivalent atoms:
I (0.0000, 0.0000, 0.0000) [1 per cell]
I (0.1243, 0.2310, 0.4121) [1 per cell]
O (0.2202, 0.2597, 0.6838) [1 per cell]
O (0.7914, 0.6939, 0.3212) [1 per cell]

Record 6
Compound: IO
Source: the Alexandria database
Functional: PBE-GGA
Structure: optimized geometry

Summary:
E_tot in eV per atom: -2.406
Theoretical density in g/cm³: 6.2
V in Å³ per cell: 151.9

Cell: 5.3357 5.3357 5.3357 Å, 90.00 90.00 90.00°
Space group Fm-3m (No. 225)
One atom of each set of equivalent atoms:
I (0.0000, 0.0000, 0.0000) [4 per cell]
O (0.0000, 0.0000, 0.5000) [4 per cell]

Record 7
Compound: IO
Source: the Alexandria database
Functional: PBE-GGA
Structure: optimized geometry

Summary:
E_tot in eV per atom: -3.103
Theoretical density in g/cm³: 4.5
V in Å³ per cell: 104.7

Cell: 3.3411 4.0793 7.6862 Å, 90.00 91.66 90.00°
Space group P2_1/m (No. 11)
One atom of each set of equivalent atoms:
I (0.2334, 0.2500, 0.2496) [2 per cell]
O (0.2327, 0.7500, 0.2494) [2 per cell]

Record 8
Compound: IO
Source: the Alexandria database
Functional: PBE-GGA
Structure: optimized geometry

Summary:
E_tot in eV per atom: -3.299
Theoretical density in g/cm³: 4.2
V in Å³ per cell: 452.9

Cell: 6.4852 7.7499 9.0111 Å, 90.00 90.00 90.00°
Space group P2_12_12_1 (No. 19)
One atom of each set of equivalent atoms:
I (0.0283, 0.0991, 0.3513) [4 per cell]
I (0.0554, 0.5747, 0.7587) [4 per cell]
O (0.1550, 0.8148, 0.7794) [4 per cell]
O (0.2227, 0.5113, 0.5912) [4 per cell]

Record 9
Compound: IO
Source: the Alexandria database
Functional: PBE-GGA
Structure: optimized geometry

Summary:
E_tot in eV per atom: -3.249
Theoretical density in g/cm³: 4.1
V in Å³ per cell: 115.4

Cell: 3.9665 4.4826 6.8671 Å, 73.25 81.04 89.00°
Space group P1 (No. 1)
One atom of each set of equivalent atoms:
I (0.0000, 0.0000, 0.0000) [1 per cell]
I (0.2610, 0.7553, 0.3784) [1 per cell]
O (0.3390, 0.3587, 0.3727) [1 per cell]
O (0.8610, 0.7149, 0.5556) [1 per cell]

Record 10
Compound: I2O5
Source: the Alexandria database
Functional: PBE-GGA
Structure: optimized geometry

Summary:
E_tot in eV per atom: -4.229
Theoretical density in g/cm³: 4.7
V in Å³ per cell: 471.7

Cell: 11.0775 5.2406 8.4764 Å, 90.00 106.53 90.00°
Space group P2_1/c (No. 14)
One atom of each set of equivalent atoms:
I (0.1271, 0.1172, 0.2256) [4 per cell]
I (0.3726, 0.6722, 0.1682) [4 per cell]
O (0.0082, 0.6371, 0.6618) [4 per cell]
O (0.1939, 0.0385, 0.4393) [4 per cell]
O (0.2496, 0.5431, 0.6289) [4 per cell]
O (0.3066, 0.0121, 0.8019) [4 per cell]
O (0.4902, 0.6547, 0.8346) [4 per cell]

Record 11
Compound: IO
Source: the Alexandria database
Functional: PBE-GGA
Structure: optimized geometry

Summary:
E_tot in eV per atom: -2.959
Theoretical density in g/cm³: 4.0
V in Å³ per cell: 478.0

Cell: 7.8190 7.8190 7.8190 Å, 90.00 90.00 90.00°
Space group I-43m (No. 217)
One atom of each set of equivalent atoms:
I (0.2095, 0.2095, 0.7905) [8 per cell]
O (0.1478, 0.1478, 0.1478) [8 per cell]

Record 12
Compound: IO3
Source: the Alexandria database
Functional: PBE-GGA
Structure: optimized geometry

Summary:
E_tot in eV per atom: -4.181
Theoretical density in g/cm³: 4.8
V in Å³ per cell: 243.2

Cell: 5.4169 6.8537 6.9108 Å, 98.72 94.54 104.86°
Space group P-1 (No. 2)
One atom of each set of equivalent atoms:
I (0.0027, 0.1722, 0.1720) [2 per cell]
I (0.1788, 0.3352, 0.7212) [2 per cell]
O (0.1531, 0.7045, 0.3439) [2 per cell]
O (0.1922, 0.0407, 0.6961) [2 per cell]
O (0.1993, 0.3656, 0.0181) [2 per cell]
O (0.2097, 0.9833, 0.0788) [2 per cell]
O (0.2393, 0.6833, 0.7890) [2 per cell]
O (0.2453, 0.2916, 0.3884) [2 per cell]